VASP calculation (PBE with a Hubbard U) on a geometry-optimized Tl2TcMoO6 structure.

* magnetic moment: 0.59 μB per cell
* total DFT energy (no corrections): -6.2955 eV per atom

Lattice parameters (Å, degrees): 7.7091 7.7090 6.9164 90.00 123.55 90.00
Last column: nearest neighbours and their distance in Å.
Space group C2/m (No. 12)
Inequivalent atoms, fractional coordinates:
Tl (0.0000, 0.2496, 0.0000)  4 O 2.90-2.91
Tc (0.0000, 0.0000, 0.5000)  4 O 1.86
Mo (0.0000, 0.5000, 0.5000)  6 O 1.87-2.00
O (0.0000, 0.2407, 0.5000)  1 Tc 1.86, 1 Mo 2.00
O (0.1618, 0.5000, 0.8252)  1 Mo 1.87
O (0.2411, 0.0000, 0.5007)  1 Tc 1.86, 1 Mo 2.00